Here is crystalline La3Ce2Co2 at its relaxed geometry from the Alexandria database. Energies are from PBE-GGA.

Properties
Formation energy ... -0.107 eV per atom
Magnetization ... 0.00 μB/f.u.
Space group ... P-1
Crystal system ... triclinic

```
La3Ce2Co2
1.0
-1.8290 -2.9930 1.2324
4.2747 -4.7771 0.8426
3.6152 0.8608 7.8105
La Ce Co
3 2 2
Direct
0.5000 0.0000 0.0000
0.6319 0.7481 0.4340
0.3681 0.2519 0.5660
0.8077 0.3559 0.1947
0.1923 0.6441 0.8053
0.8034 0.3677 0.8280
0.1966 0.6323 0.1720
```